# 1
Below is a relaxed structure of LiBi3Cl, with properties calculated at the GGA-PBE level.

Geometry as CIF:
```
data_LiBi3Cl
_symmetry_space_group_name_H-M 'P m -3 m'
_symmetry_Int_Tables_number 221
_symmetry_space_group_name_Hall '-P 4 2 3'
_cell_length_a 5.208
_cell_length_b 5.208
_cell_length_c 5.208
_cell_angle_alpha 90.00
_cell_angle_beta 90.00
_cell_angle_gamma 90.00
loop_
_atom_site_label
_atom_site_fract_x
_atom_site_fract_y
_atom_site_fract_z
_atom_site_occupancy
Li1 0.000 0.000 0.000 1
Bi1 0.000 0.000 0.500 1
Cl1 0.500 0.500 0.500 1
```

Output
**DFT total energy**: -14.72 eV per cell


# 2
Below is a relaxed structure of Li2BiCl5, with properties calculated at the GGA-PBE level.

Geometry as CIF:
```
data_Li2BiCl5
_symmetry_space_group_name_H-M 'C 1 m 1'
_symmetry_Int_Tables_number 8
_cell_length_a 12.127
_cell_length_b 7.599
_cell_length_c 7.203
_cell_angle_alpha 90.00
_cell_angle_beta 122.27
_cell_angle_gamma 90.00
loop_
_symmetry_equiv_pos_as_xyz
'x,y,z'
'x,-y,z'
'x+1/2,y+1/2,z'
'x+1/2,-y+1/2,z'
loop_
_atom_site_label
_atom_site_fract_x
_atom_site_fract_y
_atom_site_fract_z
_atom_site_occupancy
Li1 0.000 0.216 0.000 1
Bi1 0.142 0.000 0.524 1
Cl1 0.040 0.000 0.802 1
Cl2 0.195 0.263 0.362 1
Cl3 0.401 0.000 0.870 1
Cl4 0.408 0.500 0.136 1
```

Output
**DFT total energy**: -55.47 eV per cell


# 3
Below is a relaxed structure of LiBi2Cl, with properties calculated at the GGA-PBE level.

Geometry as CIF:
```
data_LiBi2Cl
_symmetry_space_group_name_H-M 'I -4 2 d'
_symmetry_Int_Tables_number 122
_symmetry_space_group_name_Hall 'I -4 2bw'
_cell_length_a 4.393
_cell_length_b 4.393
_cell_length_c 25.770
_cell_angle_alpha 90.00
_cell_angle_beta 90.00
_cell_angle_gamma 90.00
loop_
_atom_site_label
_atom_site_fract_x
_atom_site_fract_y
_atom_site_fract_z
_atom_site_occupancy
Li1 0.000 0.000 0.000 1
Bi1 0.228 0.250 0.125 1
Cl1 0.000 0.000 0.500 1
```

Output
**DFT total energy**: -52.28 eV per cell


# 4
Below is a relaxed structure of LiBiCl2, with properties calculated at the GGA-PBE level.

Geometry as CIF:
```
data_LiBiCl2
_symmetry_space_group_name_H-M 'R -3 m'
_symmetry_Int_Tables_number 166
_symmetry_space_group_name_Hall '-R 3 2"'
_cell_length_a 3.6146
_cell_length_b 3.6146
_cell_length_c 27.6591
_cell_angle_alpha 90.00
_cell_angle_beta 90.00
_cell_angle_gamma 120.00
loop_
_atom_site_label
_atom_site_fract_x
_atom_site_fract_y
_atom_site_fract_z
_atom_site_occupancy
Li1 0.0000 0.0000 0.0000 1
Bi1 0.0000 0.0000 0.5000 1
Cl1 0.0000 0.0000 0.0783 1
```

Output
**DFT total energy**: -37.79 eV per cell


# 5
Below is a relaxed structure of LiBiCl2, with properties calculated at the GGA-PBE level.

Geometry as CIF:
```
data_LiBiCl2
_symmetry_space_group_name_H-M 'R -3 m'
_symmetry_Int_Tables_number 166
_symmetry_space_group_name_Hall '-R 3 2"'
_cell_length_a 3.6414
_cell_length_b 3.6414
_cell_length_c 24.9255
_cell_angle_alpha 90.00
_cell_angle_beta 90.00
_cell_angle_gamma 120.00
loop_
_atom_site_label
_atom_site_fract_x
_atom_site_fract_y
_atom_site_fract_z
_atom_site_occupancy
Li1 0.0000 0.0000 0.0000 1
Bi1 0.0000 0.0000 0.5000 1
Cl1 0.0000 0.0000 0.3903 1
```

Output
**DFT total energy**: -42.47 eV per cell


# 6
Below is a relaxed structure of Li2BiCl, with properties calculated at the GGA-PBE level.

Geometry as CIF:
```
data_Li2BiCl
_symmetry_space_group_name_H-M 'I -4 2 d'
_symmetry_Int_Tables_number 122
_symmetry_space_group_name_Hall 'I -4 2bw'
_cell_length_a 6.762
_cell_length_b 6.762
_cell_length_c 8.597
_cell_angle_alpha 90.00
_cell_angle_beta 90.00
_cell_angle_gamma 90.00
loop_
_atom_site_label
_atom_site_fract_x
_atom_site_fract_y
_atom_site_fract_z
_atom_site_occupancy
Li1 0.170 0.250 0.125 1
Bi1 0.000 0.000 0.500 1
Cl1 0.000 0.000 0.000 1
```

Output
**DFT total energy**: -51.06 eV per cell